{
  "formula": "TbPr3Dy2Tm6",
  "functional": "PBE",
  "state": "relaxed",
  "cell": [[3.091, -5.350, 0.000], [3.091, 5.350, 0.000], [-2.053, 0.000, 11.524]],
  "species": ["Tb", "Pr", "Pr", "Pr", "Dy", "Dy", "Tm", "Tm", "Tm", "Tm", "Tm", "Tm"],
  "frac_coords": [[0.000, 0.000, 0.000], [0.167, 0.833, 0.500], [0.500, 0.500, 0.500], [0.833, 0.167, 0.500], [0.333, 0.667, 0.000], [0.667, 0.333, 0.000], [0.082, 0.415, 0.246], [0.251, 0.251, 0.754], [0.415, 0.082, 0.246], [0.585, 0.918, 0.754], [0.749, 0.749, 0.246], [0.918, 0.585, 0.754]],
  "space_group": "No. 12",
  "dos_at_fermi_per_ev_fu": 14.84,
  "formation_energy_ev_per_fu": 0.3,
  "m_tot_mub_per_cell": 0.0
}